(1)
Entry from Alexandria: a relaxed BaAg3Bi2 crystal (PBE-GGA).

a b c (Å): 9.2757 9.2757 8.4270
angles (deg): 117.01 117.01 32.11
Closest atoms and distances in Å follow each position.
Sites, in units of the cell vectors:
Ba 0.1363 0.1363 0.1359  8 Ag 3.32-3.58, 4 Bi 3.69-3.70
Ba 0.8637 0.8637 0.8641  8 Ag 3.32-3.58, 4 Bi 3.69-3.70
Ag 0.0006 0.0006 0.3381  1 Ag 2.74, 2 Bi 2.86
Ag 0.3120 0.3120 0.0922  4 Bi 3.06-3.17, 2 Ag 3.26, 1 Ba 3.32
Ag 0.3117 0.3117 0.5323  4 Bi 3.06-3.17, 2 Ag 3.25, 1 Ba 3.33
Ag 0.6883 0.6883 0.4677  4 Bi 3.06-3.17, 2 Ag 3.25, 1 Ba 3.33
Ag 0.6880 0.6880 0.9078  4 Bi 3.06-3.17, 2 Ag 3.26, 1 Ba 3.32
Ag 0.9994 0.9994 0.6619  1 Ag 2.74, 2 Bi 2.86
Bi 0.1792 0.1792 0.6794  8 Ag 3.12-3.17
Bi 0.5000 0.5000 0.1873  4 Ag 2.86-3.06, 1 Bi 3.16
Bi 0.5000 0.5000 0.8127  4 Ag 2.86-3.06, 1 Bi 3.16
Bi 0.8208 0.8208 0.3206  8 Ag 3.12-3.17

**Total magnetization**: 0.000 μB/f.u.
**Uncorrected energy**: -3.257 eV per atom
**D(E_F)**: 0.22 states/eV/atom
**Formation enthalpy at 0 K**: -1.30 eV/f.u.
**Crystal system**: monoclinic
**Space-group type**: C2/m
**Polymorph energy (0 for the lowest one)**: 0.065 eV/atom

(2)
Entry from Alexandria: a relaxed LaTb7Pm3 crystal (PBE-GGA).

a b c (Å): 8.5121 8.5121 8.5121
angles (deg): 139.48 97.37 96.41
Closest atoms and distances in Å follow each position.
Sites, in units of the cell vectors:
La 0.0000 0.0000 0.0000  2 Tb 2.95
Tb 0.0000 0.5000 0.5000  2 La 2.95, 2 Pm 3.29
Tb 0.0969 0.3071 0.7897  2 Pm 3.22-3.44, 2 Tb 3.34
Tb 0.2960 0.0000 0.2960  2 Pm 3.31, 1 La 3.33, 6 Tb 3.62-3.67
Tb 0.4826 0.6929 0.7897  2 Pm 3.22-3.44, 2 Tb 3.34
Tb 0.5174 0.3071 0.2103  2 Pm 3.22-3.44, 2 Tb 3.34
Tb 0.7040 0.0000 0.7040  2 Pm 3.31, 1 La 3.33, 6 Tb 3.62-3.67
Tb 0.9031 0.6929 0.2103  2 Pm 3.22-3.44, 2 Tb 3.34
Pm 0.2901 0.7901 0.5000  5 Tb 3.29-3.44
Pm 0.5000 0.5000 0.0000  4 Tb 3.22
Pm 0.7099 0.2099 0.5000  5 Tb 3.29-3.44

**Total magnetization**: 0.001 μB/f.u.
**Uncorrected energy**: -4.452 eV per atom
**D(E_F)**: 1.56 states/eV/atom
**Formation enthalpy at 0 K**: 2.62 eV/f.u.
**Crystal system**: orthorhombic
**Space-group type**: Immm
**Polymorph energy (0 for the lowest one)**: 0.103 eV/atom